Entry 1:
Computed, not measured: a geometry-optimized SrTi2Ir structure at the PBE-GGA level of DFT.

Properties
Energy relative to the elements, eV/f.u.: 0.9
Energy relative to the lowest polymorph listed for this composition, meV/atom: 0
Calculated total energy, eV/atom: -6.36
Calculated volume, Å³ per cell: 297.0

abc: 6.6722 6.6722 6.6722
angles: 90.00 90.00 90.00
Last column: nearest neighbours and their distance in Å.
Space group Fm-3m (No. 225)
One atom of each set of equivalent atoms:
Sr  0.0000  0.0000  0.0000 x4  8 Ti 2.89
Ti  0.2500  0.2500  0.2500 x8  4 Ir 2.89, 4 Sr 2.89
Ir  0.0000  0.0000  0.5000 x4  8 Ti 2.89

---

Entry 2:
Computed, not measured: a geometry-optimized ZrCd2W2 structure at the PBE-GGA level of DFT.

Properties
Energy relative to the elements, eV/f.u.: 2.9
Energy relative to the lowest polymorph listed for this composition, meV/atom: 0
Calculated total energy, eV/atom: -6.67
Calculated volume, Å³ per cell: 199.3

abc: 3.8209 3.8209 13.6509
angles: 90.00 90.00 90.00
Last column: nearest neighbours and their distance in Å.
Space group I4/mmm (No. 139)
One atom of each set of equivalent atoms:
Zr  0.0000  0.0000  0.0000 x2  8 Cd 3.01
Cd  0.0000  0.0000  0.4025 x4  1 Cd 2.66, 4 W 2.83
W  0.0000  0.5000  0.2500 x4  4 W 2.70, 4 Cd 2.83

---

Q: Which value of energy relative to the lowest polymorph listed for this composition does entry 1 give?
A: 0 meV/atom

---

Q: What is the formula in the second record?
A: ZrCd2W2

---

Repeat the second record exactly.
Computed, not measured: a geometry-optimized ZrCd2W2 structure at the PBE-GGA level of DFT.

Properties
Energy relative to the elements, eV/f.u.: 2.9
Energy relative to the lowest polymorph listed for this composition, meV/atom: 0
Calculated total energy, eV/atom: -6.67
Calculated volume, Å³ per cell: 199.3

abc: 3.8209 3.8209 13.6509
angles: 90.00 90.00 90.00
Last column: nearest neighbours and their distance in Å.
Space group I4/mmm (No. 139)
One atom of each set of equivalent atoms:
Zr  0.0000  0.0000  0.0000 x2  8 Cd 3.01
Cd  0.0000  0.0000  0.4025 x4  1 Cd 2.66, 4 W 2.83
W  0.0000  0.5000  0.2500 x4  4 W 2.70, 4 Cd 2.83

---

Q: Among the records above, which one has the highest energy relative to the elements?
A: ZrCd2W2